Material: CaInAs2
Method: DFT, GGA-PBE
State: optimized geometry

Values from the calculation:
formation energy from the elements	-1.6	eV/f.u.

Cell lengths 3.823, 4.542, 11.179 Å; angles 90.00, 90.00, 90.00 degrees
Space group Imm2 (No. 44)
One atom of each set of equivalent atoms:
Ca 0.000 0.000 0.000
In 0.000 0.500 0.778
As 0.000 0.000 0.506
As 0.000 0.500 0.194



Material: Sm2ErZn2
Method: DFT, GGA-PBE
State: optimized geometry

Values from the calculation:
energy relative to the lowest polymorph listed for this composition	107	meV/atom
formation energy from the elements	-0.7	eV/f.u.

Cell lengths 4.506, 4.389, 13.382 Å; angles 90.00, 99.48, 90.00 degrees
Space group P2_1/m (No. 11)
One atom of each set of equivalent atoms:
Sm 0.054 0.250 0.111
Sm 0.263 0.750 0.527
Er 0.365 0.250 0.728
Zn 0.167 0.250 0.333
Zn 0.474 0.250 0.948



Material: InHgBr2
Method: DFT, GGA-PBE
State: optimized geometry

Values from the calculation:
energy relative to the lowest polymorph listed for this composition	75	meV/atom
formation energy (no corrections)	-0.4887	eV per atom

Cell lengths 5.882, 4.116, 5.963 Å; angles 90.00, 116.92, 90.00 degrees
Space group Pm (No. 6)
One atom of each set of equivalent atoms:
In 0.000 0.000 0.000
Hg 0.738 0.500 0.148
Br 0.149 0.500 0.752
Br 0.500 0.000 0.382



Material: HfAg2Ir
Method: DFT, GGA-PBE
State: optimized geometry

Values from the calculation:
formation energy from the elements	1.5	eV/f.u.

Cell lengths 7.654, 7.654, 5.274 Å; angles 90.00, 90.00, 90.00 degrees
Space group I-42d (No. 122)
One atom of each set of equivalent atoms:
Hf 0.000 0.000 0.000
Ag 0.233 0.250 0.625
Ir 0.000 0.000 0.500



Material: PrNiC2
Method: DFT, GGA-PBE
State: optimized geometry

Values from the calculation:
formation energy from the elements	-0.9	eV/f.u.

Cell lengths 3.902, 4.551, 6.124 Å; angles 90.00, 90.00, 90.00 degrees
Space group Amm2 (No. 38)
One atom of each set of equivalent atoms:
Pr 0.000 0.000 0.000
Ni 0.500 0.000 0.387
C 0.500 0.150 0.698



Material: TbGa2Pd4
Method: DFT, GGA-PBE
State: optimized geometry

Values from the calculation:
energy relative to the lowest polymorph listed for this composition	36	meV/atom
formation energy from the elements	-5.2	eV/f.u.

Cell lengths 7.856, 7.856, 3.954 Å; angles 90.00, 90.00, 90.00 degrees
Space group P4_2/mnm (No. 136)
One atom of each set of equivalent atoms:
Tb 0.000 0.000 0.000
Ga 0.222 0.222 0.500
Pd 0.079 0.670 0.500



Material: TbPm4NdHo2
Method: DFT, GGA-PBE
State: optimized geometry

Values from the calculation:
formation energy from the elements	0.1	eV/f.u.

Cell lengths 6.247, 3.619, 11.956 Å; angles 90.00, 100.16, 90.00 degrees
Space group P2/m (No. 10)
One atom of each set of equivalent atoms:
Tb 0.000 0.000 0.000
Pm 0.250 0.500 0.249
Pm 0.252 0.000 0.753
Nd 0.000 0.500 0.500
Ho 0.500 0.000 0.500
Ho 0.500 0.500 0.000



Material: KV2CrP
Method: DFT, GGA-PBE
State: optimized geometry

Values from the calculation:
formation energy from the elements	4.6	eV/f.u.

Cell lengths 4.743, 4.743, 4.417 Å; angles 90.00, 90.00, 90.00 degrees
Space group P4/mmm (No. 123)
One atom of each set of equivalent atoms:
K 0.000 0.000 0.000
V 0.000 0.500 0.500
Cr 0.500 0.500 0.000
P 0.500 0.500 0.500



Material: TaMnNb2B
Method: DFT, GGA-PBE
State: optimized geometry

Values from the calculation:
formation energy from the elements	9.9	eV/f.u.

Cell lengths 4.890, 4.890, 4.110 Å; angles 90.00, 90.00, 90.00 degrees
Space group P4/mmm (No. 123)
One atom of each set of equivalent atoms:
Ta 0.000 0.000 0.000
Mn 0.500 0.500 0.500
Nb 0.000 0.500 0.000
B 0.000 0.000 0.500



Material: Rb2ScMn2
Method: DFT, GGA-PBE
State: optimized geometry

Values from the calculation:
energy relative to the lowest polymorph listed for this composition	196	meV/atom
formation energy from the elements	7.6	eV/f.u.

Cell lengths 5.900, 5.900, 10.614 Å; angles 90.00, 90.00, 90.00 degrees
Space group I4/mmm (No. 139)
One atom of each set of equivalent atoms:
Rb 0.000 0.000 0.142
Sc 0.000 0.000 0.500
Mn 0.000 0.500 0.250



Material: LiPtI
Method: DFT, GGA-PBE
State: optimized geometry

Values from the calculation:
energy relative to the lowest polymorph listed for this composition	85	meV/atom
formation energy (no corrections)	-0.4960	eV per atom

Cell lengths 5.335, 3.828, 7.927 Å; angles 90.00, 92.01, 90.00 degrees
Space group Pm (No. 6)
One atom of each set of equivalent atoms:
Li 0.000 0.000 0.000
Li 0.385 0.000 0.705
Pt 0.515 0.000 0.012
Pt 0.701 0.500 0.824
I 0.325 0.500 0.208
I 0.887 0.000 0.614



Material: Cr2CoMo
Method: DFT, GGA-PBE
State: optimized geometry

Values from the calculation:
formation energy from the elements	0.7	eV/f.u.

Cell lengths 2.534, 4.139, 4.879 Å; angles 90.00, 99.49, 90.00 degrees
Space group P2/m (No. 10)
One atom of each set of equivalent atoms:
Cr 0.218 0.000 0.236
Co 0.500 0.500 0.000
Mo 0.000 0.500 0.500



Material: LaErTlZn
Method: DFT, GGA-PBE
State: optimized geometry

Values from the calculation:
formation energy from the elements	-1.3	eV/f.u.

Cell lengths 7.578, 7.578, 7.578 Å; angles 90.00, 90.00, 90.00 degrees
Space group F-43m (No. 216)
One atom of each set of equivalent atoms:
La 0.000 0.000 0.000
Er 0.000 0.000 0.500
Tl 0.250 0.250 0.250
Zn 0.250 0.250 0.750



Material: PaAg2F8
Method: DFT, GGA-PBE
State: optimized geometry

Values from the calculation:
energy relative to the lowest polymorph listed for this composition	0	meV/atom
formation energy (no corrections)	-2.5184	eV per atom

Cell lengths 7.3027, 7.3027, 4.3465 Å; angles 90.00, 90.00, 120.00 degrees
Space group P-3 (No. 147)
One atom of each set of equivalent atoms:
Pa 0.0000 0.0000 0.0000
Ag 0.3333 0.6667 0.7146
F 0.1409 0.2834 0.7425
F 0.3333 0.6667 0.2161



Material: YTa2Tc2
Method: DFT, GGA-PBE
State: optimized geometry

Values from the calculation:
energy relative to the lowest polymorph listed for this composition	0	meV/atom
formation energy from the elements	-0.3	eV/f.u.

Cell lengths 4.289, 4.289, 11.203 Å; angles 90.00, 90.00, 90.00 degrees
Space group I4/mmm (No. 139)
One atom of each set of equivalent atoms:
Y 0.000 0.000 0.000
Ta 0.000 0.500 0.250
Tc 0.000 0.000 0.385



Material: Cs4Nd3MnS8
Method: DFT, GGA-PBE
State: optimized geometry

Values from the calculation:
formation energy (no corrections)	-1.4762	eV per atom

Cell lengths 14.274, 8.368, 9.358 Å; angles 90.00, 120.56, 90.00 degrees
Space group C2/m (No. 12)
One atom of each set of equivalent atoms:
Cs 0.000 0.000 0.000
Cs 0.000 0.500 0.000
Cs 0.250 0.250 0.000
Nd 0.000 0.000 0.500
Nd 0.250 0.250 0.500
Mn 0.000 0.500 0.500
S 0.019 0.260 0.316
S 0.201 0.500 0.668
S 0.231 0.000 0.690



Material: MnTeMo4
Method: DFT, GGA-PBE
State: optimized geometry

Values from the calculation:
formation energy (no corrections)	0.5692	eV per atom

Cell lengths 7.488, 7.488, 7.488 Å; angles 90.00, 90.00, 90.00 degrees
Space group F-43m (No. 216)
One atom of each set of equivalent atoms:
Mn 0.000 0.000 0.000
Te 0.250 0.250 0.250
Mo 0.126 0.126 0.626



Material: Sm3ZnSi6Pt2
Method: DFT, GGA-PBE
State: optimized geometry

Values from the calculation:
formation energy (no corrections)	-0.4090	eV per atom

Cell lengths 5.7260, 5.7260, 8.2760 Å; angles 90.00, 90.00, 120.00 degrees
Space group P-3m1 (No. 164)
One atom of each set of equivalent atoms:
Sm 0.0000 0.0000 0.0000
Sm 0.3333 0.6667 0.6163
Zn 0.0000 0.0000 0.5000
Si 0.1912 0.3824 0.2793
Pt 0.3333 0.6667 0.0337



Material: CeAgBr6
Method: DFT, GGA-PBE
State: optimized geometry

Values from the calculation:
energy relative to the lowest polymorph listed for this composition	0	meV/atom
formation energy (no corrections)	-1.0253	eV per atom

Cell lengths 7.470, 11.953, 7.086 Å; angles 90.00, 97.30, 90.00 degrees
Space group C2/m (No. 12)
One atom of each set of equivalent atoms:
Ce 0.000 0.000 0.000
Ag 0.000 0.000 0.500
Br 0.126 0.158 0.744
Br 0.178 0.500 0.770



Material: Pu2MnPb
Method: DFT, GGA-PBE
State: optimized geometry

Values from the calculation:
energy relative to the lowest polymorph listed for this composition	363	meV/atom
formation energy from the elements	1.3	eV/f.u.

Cell lengths 3.4259, 3.4259, 30.9933 Å; angles 90.00, 90.00, 120.00 degrees
Space group R-3m (No. 166, hexagonal axes)
One atom of each set of equivalent atoms:
Pu 0.0000 0.0000 0.1064
Mn 0.0000 0.0000 0.5000
Pb 0.0000 0.0000 0.0000



Material: TlGeH2
Method: DFT, GGA-PBE
State: optimized geometry

Values from the calculation:
energy relative to the lowest polymorph listed for this composition	0	meV/atom

Cell lengths 4.752, 4.752, 11.322 Å; angles 90.00, 90.00, 90.00 degrees
Space group I-42d (No. 122)
One atom of each set of equivalent atoms:
Tl 0.000 0.000 0.000
Ge 0.000 0.000 0.500
H 0.002 0.750 0.625



Material: CePuI6
Method: DFT, GGA-PBE
State: optimized geometry

Values from the calculation:
energy relative to the lowest polymorph listed for this composition	35	meV/atom
formation energy (no corrections)	-1.1652	eV per atom

Cell lengths 7.7813, 7.7813, 21.4968 Å; angles 90.00, 90.00, 120.00 degrees
Space group R-3 (No. 148, hexagonal axes)
One atom of each set of equivalent atoms:
Ce 0.0000 0.0000 0.0000
Pu 0.0000 0.0000 0.5000
I 0.9997 0.3410 0.7494



Material: Cs6K2Cl
Method: DFT, GGA-PBE
State: optimized geometry

Values from the calculation:
formation energy (no corrections)	-0.4153	eV per atom

Cell lengths 16.370, 12.093, 10.611 Å; angles 90.00, 129.93, 90.00 degrees
Space group C2/m (No. 12)
One atom of each set of equivalent atoms:
Cs 0.001 0.206 0.242
Cs 0.222 0.500 0.724
K 0.206 0.500 0.205
Cl 0.000 0.000 0.000



Material: AsW2Cl
Method: DFT, GGA-PBE
State: optimized geometry

Values from the calculation:
energy relative to the lowest polymorph listed for this composition	303	meV/atom
formation energy (no corrections)	0.2909	eV per atom

Cell lengths 3.348, 4.730, 9.787 Å; angles 90.00, 90.00, 90.00 degrees
Space group Cmm2 (No. 35)
One atom of each set of equivalent atoms:
As 0.000 0.000 0.000
W 0.000 0.000 0.579
W 0.000 0.500 0.793
Cl 0.000 0.500 0.378



Material: ZrAgSe2
Method: DFT, GGA-PBE
State: optimized geometry

Values from the calculation:
formation energy (no corrections)	-0.6900	eV per atom

Cell lengths 3.764, 3.764, 6.338 Å; angles 90.00, 90.00, 90.00 degrees
Space group P4mm (No. 99)
One atom of each set of equivalent atoms:
Zr 0.000 0.000 0.000
Ag 0.500 0.500 0.290
Se 0.000 0.000 0.405
Se 0.500 0.500 0.856



Theoretical density readings, ordered: 5215; 7619; 6130; 12608; 6828; 9854; 7570; 3742; 7308; 2928; 6751; 8517; 8790; 4952; 10423; 4402; 8960; 7598; 3850; 11862; 7250; 5063; 1878; 10242; 6602 kg/m³
Electronic total energy readings, ordered: -15.649; -17.256; -8.341; -22.986; -29.942; -36.628; -37.427; -29.787; -37.971; -19.016; -10.993; -36.485; -14.429; -57.872; -51.162; -83.526; -52.220; -64.959; -27.025; -40.267; -12.097; -38.888; -12.900; -31.239; -21.129 eV/f.u.